No. 1
Below is a relaxed IrRh2Cl crystal, with properties calculated at the PBE level.

The value obtained for the uncorrected formation energy is 3.35 eV/f.u. The energy above the most stable polymorph in this dataset is 2.26 eV/f.u. The magnetic moment is 0.1 μB/cell. As for the symmetry: F-43m, No. 216. For the density of states at the Fermi level, the calculation gives 6.33 states/eV/f.u.

Cell and atoms, written as POSCAR:
```
IrRh2Cl
1.0
4.400 0.000 0.000
2.200 3.811 0.000
2.200 1.270 3.593
Cl Ir Rh
1 1 2
Cartesian
4.400 2.541 1.796
6.601 3.811 2.695
0.000 0.000 0.000
2.200 1.270 0.898
```

=====

No. 2
Below is a relaxed UBePd crystal, with properties calculated at the PBE level.

The magnetic moment is 4.8 μB/cell. As for the symmetry: Pnma, No. 62. The value obtained for the formation energy is -5.14 kcal/mol of atoms. For the density of states at the Fermi level, the calculation gives 4.61 states/eV/f.u.

Cell and atoms, written as POSCAR:
```
UBePd
1.0
-1.073 3.663 0.544
-4.865 -2.047 4.189
4.661 0.524 5.670
U Be Pd
4 4 4
Cartesian
0.286 0.427 4.523
-1.563 1.713 5.879
-0.902 0.646 0.705
-0.375 1.494 9.698
0.426 0.058 7.286
-1.703 2.082 3.117
-3.132 -0.720 5.508
1.855 2.860 4.895
-2.392 -0.166 3.230
1.115 2.305 7.173
-1.894 -0.675 7.643
0.617 2.814 2.760
```

=====

No. 3
Below is a relaxed SiMo2P crystal, with properties calculated at the PBE level.

The value obtained for the uncorrected formation energy is 2.64 eV/f.u. The energy above the most stable polymorph in this dataset is 4.52 eV/f.u. The magnetic moment is 5.8 μB/cell. As for the symmetry: I-42d, No. 122. For the density of states at the Fermi level, the calculation gives 2.77 states/eV/f.u.

Cell and atoms, written as POSCAR:
```
SiMo2P
1.0
-2.946 0.197 4.681
-0.641 -5.494 -0.172
2.833 -3.280 5.192
P Mo Si
2 4 2
Cartesian
0.000 0.000 0.000
-0.953 -2.866 6.064
-1.249 -1.381 4.259
-0.024 -4.231 1.719
0.788 -4.379 5.587
-1.021 -7.161 7.838
-1.793 -2.648 2.254
0.200 -5.711 3.638
```